TlSiSN2: optimized geometry, PBEsol.

Lattice parameters (Å, degrees): 3.7096 3.7096 5.5103 90.00 90.00 90.00
Closest atoms and distances in Å follow each position.
Atoms (fractional coordinates):
Tl  0.0000  0.0000  0.0000  4 Si 2.62, 2 S 2.76
Si  0.5000  0.5000  0.0000  4 Tl 2.62
S  0.0000  0.0000  0.5000  4 N 1.85
N  0.0000  0.5000  0.5000  2 S 1.85
N  0.5000  0.0000  0.5000  2 S 1.85

Computed properties:
formation energy from raw total energies	1650	meV per atom

***

Sc2MoAu: optimized geometry, PBEsol.

Lattice parameters (Å, degrees): 9.8090 9.8090 9.8090 17.58 17.58 17.58
Closest atoms and distances in Å follow each position.
Atoms (fractional coordinates):
Sc  0.0000  0.0000  0.0000  3 Mo 2.89, 6 Sc 3.00
Sc  0.2371  0.2371  0.2371  3 Au 2.88, 6 Sc 3.00
Mo  0.7464  0.7464  0.7464  3 Au 2.84, 3 Sc 2.89, 6 Mo 3.00
Au  0.4909  0.4909  0.4909  3 Mo 2.84, 3 Sc 2.88, 6 Au 3.00

Computed properties:
energy of formation	0.18	eV per atom

***

no.,magnetic moment (Bohr magnetons per cell),E above lowest polymorph (meV/atom),DFT total energy (eV per atom)
1,0.5,0,-4.313
2,0.5,343,-7.041